[1]
Here is a geometry-optimized RbTmMg2Cl8 structure from Alexandria. Energies are from PBE.

Cell lengths 6.5349, 6.5650, 9.1004 Å; angles 76.05, 77.14, 75.71 degrees
Last column: nearest neighbours and their distance in Å.
Space group P-1 (No. 2)
Unique sites:
Rb  0.0000  0.0000  0.0000 [1 per cell]  6 Cl 3.25-3.55
Tm  0.0000  0.0000  0.5000 [1 per cell]  6 Cl 2.59-2.64
Mg  0.4567  0.4489  0.2123 [2 per cell]  5 Cl 2.41-2.54
Cl  0.1891  0.7304  0.7200 [2 per cell]  1 Mg 2.46, 1 Tm 2.64
Cl  0.2412  0.7825  0.2935 [2 per cell]  1 Mg 2.47, 1 Tm 2.63
Cl  0.2790  0.2391  0.4485 [2 per cell]  1 Mg 2.47, 1 Tm 2.59
Cl  0.3603  0.3155  0.0185 [2 per cell]  2 Mg 2.41-2.54

Computed properties:
The density of states at the Fermi level is 0.00 states/eV per atom. For the size of the total moment, the calculation gives 0.0 μB/f.u. The energy is -47.05 eV/cell. As for the formation energy from raw total energies: -1.9710 eV per atom.

***

[2]
Here is a geometry-optimized RbMgVCl6 structure from Alexandria. Energies are from PBE.

Cell lengths 6.4359, 6.4359, 7.3910 Å; angles 90.00, 90.00, 120.00 degrees
Last column: nearest neighbours and their distance in Å.
Space group P312 (No. 149)
Unique sites:
Rb  0.0000  0.0000  0.0000 [1 per cell]  6 Cl 3.33
Mg  0.6667  0.3333  0.5000 [1 per cell]  6 Cl 2.52
V  0.3333  0.6667  0.5000 [1 per cell]  6 Cl 2.40
Cl  0.0139  0.3801  0.6881 [6 per cell]  1 V 2.40, 1 Mg 2.52

Computed properties:
The density of states at the Fermi level is 1.08 states/eV per atom. For the size of the total moment, the calculation gives 2.0 μB/f.u. The energy is -37.31 eV/cell. As for the formation energy from raw total energies: -1.6162 eV per atom.

***

[3]
Here is a geometry-optimized RbYMg2Cl8 structure from Alexandria. Energies are from PBE.

Cell lengths 6.5551, 6.5999, 9.1570 Å; angles 76.10, 77.24, 75.96 degrees
Last column: nearest neighbours and their distance in Å.
Space group P-1 (No. 2)
Unique sites:
Rb  0.0000  0.0000  0.0000 [1 per cell]  6 Cl 3.25-3.56
Y  0.0000  0.0000  0.5000 [1 per cell]  6 Cl 2.63-2.69
Mg  0.4589  0.4503  0.2100 [2 per cell]  5 Cl 2.41-2.54
Cl  0.1882  0.7273  0.7238 [2 per cell]  1 Mg 2.46, 1 Y 2.69
Cl  0.2404  0.7795  0.2910 [2 per cell]  1 Mg 2.47, 1 Y 2.67
Cl  0.2848  0.2402  0.4462 [2 per cell]  1 Mg 2.48, 1 Y 2.63
Cl  0.3621  0.3138  0.0193 [2 per cell]  2 Mg 2.41-2.54

Computed properties:
The density of states at the Fermi level is 0.00 states/eV per atom. For the size of the total moment, the calculation gives 0.0 μB/f.u. The energy is -49.05 eV/cell. As for the formation energy from raw total energies: -1.9712 eV per atom.

***

[4]
Here is a geometry-optimized RbYMgCl6 structure from Alexandria. Energies are from PBE.

Cell lengths 6.8002, 6.8002, 14.6294 Å; angles 90.00, 90.00, 120.00 degrees
Last column: nearest neighbours and their distance in Å.
Space group P-31c (No. 163)
Unique sites:
Rb  0.0000  0.0000  0.0000 [2 per cell]  6 Cl 3.36
Y  0.3333  0.6667  0.2500 [2 per cell]  6 Cl 2.66
Mg  0.3333  0.6667  0.7500 [2 per cell]  6 Cl 2.54
Cl  0.0134  0.3823  0.6489 [12 per cell]  1 Mg 2.54, 1 Y 2.66

Computed properties:
The density of states at the Fermi level is 0.00 states/eV per atom. For the size of the total moment, the calculation gives 0.0 μB/f.u. The energy is -78.10 eV/cell. As for the formation energy from raw total energies: -2.1051 eV per atom.